! Dy2Ho4Tm7 (PBE-GGA, relaxed); values from VASP
! final energy	-4.504	eV per atom
&SYSTEM
  ibrav = 0, nat = 13, ntyp = 3
/
ATOMIC_SPECIES
Ho 164.93 Ho.upf
Tm 168.93 Tm.upf
Dy 162.50 Dy.upf
CELL_PARAMETERS angstrom
-1.342 8.017 4.454
-5.181 -11.660 -6.695
-0.636 -3.551 4.871
ATOMIC_POSITIONS crystal
Ho 0.076 0.922 0.538
Tm 0.769 0.230 0.384
Tm 0.462 0.538 0.231
Dy 0.308 0.693 0.154
Tm 0.000 0.000 0.000
Tm 0.154 0.846 0.077
Tm 0.846 0.154 0.923
Ho 0.384 0.615 0.692
Ho 0.924 0.078 0.462
Ho 0.616 0.385 0.308
Tm 0.538 0.462 0.769
Tm 0.231 0.770 0.616
Dy 0.692 0.307 0.846